Below is a relaxed structure of TmCrRh2, with properties calculated at the PBE level.

- Energy relative to the lowest polymorph listed for this composition: 26 meV per atom

extended XYZ file:
```
16
Lattice="6.433 0.000 0.000 0.000 6.433 0.000 0.000 0.000 6.433" Properties=species:S:1:pos:R:3 pbc="T T T"
Tm 0.000 0.000 0.000
Tm 0.000 3.217 3.217
Tm 3.217 0.000 3.217
Tm 3.217 3.217 0.000
Cr 0.000 0.000 3.217
Cr 0.000 3.217 0.000
Cr 3.217 0.000 0.000
Cr 3.217 3.217 3.217
Rh 1.608 1.608 1.608
Rh 1.608 1.608 4.825
Rh 1.608 4.825 1.608
Rh 1.608 4.825 4.825
Rh 4.825 1.608 1.608
Rh 4.825 1.608 4.825
Rh 4.825 4.825 1.608
Rh 4.825 4.825 4.825
```

Below is a relaxed structure of TmCrRh2, with properties calculated at the PBE level.

- Energy relative to the lowest polymorph listed for this composition: 0 meV per atom

extended XYZ file:
```
4
Lattice="4.502 0.000 0.000 0.000 4.502 0.000 0.000 0.000 3.278" Properties=species:S:1:pos:R:3 pbc="T T T"
Tm 0.000 0.000 0.000
Cr 2.251 2.251 0.000
Rh 0.000 2.251 1.639
Rh 2.251 0.000 1.639
```

Below is a relaxed structure of UCrRh, with properties calculated at the PBE level.

extended XYZ file:
```
6
Lattice="2.044 1.180 6.825 -2.044 1.180 6.825 0.000 -2.360 6.825" Properties=species:S:1:pos:R:3 pbc="T T T"
U 0.000 0.000 4.095
U 0.000 0.000 16.381
Cr 0.000 0.000 1.172
Cr 0.000 0.000 19.305
Rh 0.000 0.000 7.538
Rh 0.000 0.000 12.939
```

Below is a relaxed structure of VCrRh6, with properties calculated at the PBE level.

- Energy relative to the lowest polymorph listed for this composition: 491 meV per atom

extended XYZ file:
```
16
Lattice="5.345 0.000 0.000 0.000 9.571 0.000 -2.661 0.000 4.629" Properties=species:S:1:pos:R:3 pbc="T T T"
V 0.000 0.000 0.000
V 2.672 4.786 0.000
Cr -1.330 4.786 2.314
Cr 1.342 0.000 2.314
Rh 0.614 4.786 1.191
Rh -0.672 2.689 3.476
Rh -0.672 6.883 3.476
Rh 0.684 2.097 1.153
Rh 0.684 7.474 1.153
Rh -0.602 0.000 3.438
Rh 3.286 0.000 1.191
Rh 2.000 2.097 3.476
Rh 2.000 7.474 3.476
Rh 3.356 2.689 1.153
Rh 3.356 6.883 1.153
Rh 2.070 4.786 3.438
```

Below is a relaxed structure of VCr2Rh, with properties calculated at the PBE level.

- Energy relative to the lowest polymorph listed for this composition: 72 meV per atom

extended XYZ file:
```
4
Lattice="3.604 0.000 0.000 0.000 3.604 0.000 0.000 0.000 3.966" Properties=species:S:1:pos:R:3 pbc="T T T"
V 0.000 0.000 0.000
Cr 0.000 1.802 1.983
Cr 1.802 0.000 1.983
Rh 1.802 1.802 0.000
```

Below is a relaxed structure of V3CrRh, with properties calculated at the PBE level.

- Energy relative to the lowest polymorph listed for this composition: 0 meV per atom

extended XYZ file:
```
10
Lattice="6.301 -2.070 0.000 6.301 2.070 0.000 -1.535 0.000 5.032" Properties=species:S:1:pos:R:3 pbc="T T T"
V 0.664 0.000 1.959
V -0.049 0.000 4.477
V 2.638 0.000 3.512
V 8.429 0.000 1.521
V 11.116 0.000 0.556
V 10.403 0.000 3.073
Cr 3.398 0.000 0.993
Cr 7.669 0.000 4.039
Rh 6.301 0.000 0.000
Rh 5.534 0.000 2.516
```

Below is a relaxed structure of VCr2Rh, with properties calculated at the PBE level.

- Energy relative to the lowest polymorph listed for this composition: 56 meV per atom

extended XYZ file:
```
16
Lattice="5.942 0.000 0.000 0.000 5.942 0.000 0.000 0.000 5.942" Properties=species:S:1:pos:R:3 pbc="T T T"
V 0.000 0.000 0.000
V 0.000 2.971 2.971
V 2.971 0.000 2.971
V 2.971 2.971 0.000
Cr 1.486 1.486 1.486
Cr 1.486 1.486 4.457
Cr 1.486 4.457 1.486
Cr 1.486 4.457 4.457
Cr 4.457 1.486 1.486
Cr 4.457 1.486 4.457
Cr 4.457 4.457 1.486
Cr 4.457 4.457 4.457
Rh 0.000 0.000 2.971
Rh 0.000 2.971 0.000
Rh 2.971 0.000 0.000
Rh 2.971 2.971 2.971
```

Below is a relaxed structure of VCrRh2, with properties calculated at the PBE level.

extended XYZ file:
```
16
Lattice="6.077 0.000 0.000 0.000 6.077 0.000 0.000 0.000 6.077" Properties=species:S:1:pos:R:3 pbc="T T T"
V 0.000 0.000 0.000
V 0.000 3.038 3.038
V 3.038 0.000 3.038
V 3.038 3.038 0.000
Cr 0.000 0.000 3.038
Cr 0.000 3.038 0.000
Cr 3.038 0.000 0.000
Cr 3.038 3.038 3.038
Rh 1.519 1.519 1.519
Rh 1.519 1.519 4.558
Rh 1.519 4.558 1.519
Rh 1.519 4.558 4.558
Rh 4.558 1.519 1.519
Rh 4.558 1.519 4.558
Rh 4.558 4.558 1.519
Rh 4.558 4.558 4.558
```

Below is a relaxed structure of VCr2Rh7, with properties calculated at the PBE level.

extended XYZ file:
```
10
Lattice="3.514 -6.130 0.000 3.514 6.130 0.000 0.000 0.000 3.898" Properties=species:S:1:pos:R:3 pbc="T T T"
V 0.000 0.000 0.000
Cr 3.514 2.384 1.949
Cr 3.514 -2.384 1.949
Rh 1.336 1.335 1.949
Rh 3.514 3.517 0.000
Rh 1.336 -1.335 1.949
Rh 3.514 0.000 1.949
Rh 5.692 1.335 1.949
Rh 3.514 -3.517 0.000
Rh 5.692 -1.335 1.949
```

Below is a relaxed structure of VCrRh, with properties calculated at the PBE level.

- Energy relative to the lowest polymorph listed for this composition: 0 meV per atom

extended XYZ file:
```
6
Lattice="2.914 0.000 0.000 0.000 2.914 0.000 0.000 0.000 9.295" Properties=species:S:1:pos:R:3 pbc="T T T"
V 0.729 0.729 2.173
V 2.186 2.186 7.121
Cr 0.729 0.729 8.615
Cr 2.186 2.186 0.680
Rh 0.729 0.729 5.689
Rh 2.186 2.186 3.605
```

Below is a relaxed structure of V2CrRh, with properties calculated at the PBE level.

extended XYZ file:
```
4
Lattice="2.935 0.000 0.000 0.000 2.935 0.000 0.000 0.000 6.050" Properties=species:S:1:pos:R:3 pbc="T T T"
V 0.000 0.000 1.368
V 0.000 0.000 4.682
Cr 1.468 1.468 0.000
Rh 1.468 1.468 3.025
```

Below is a relaxed structure of VCrRh2, with properties calculated at the PBE level.

extended XYZ file:
```
16
Lattice="6.744 0.000 0.000 0.000 6.744 0.000 0.000 0.000 5.405" Properties=species:S:1:pos:R:3 pbc="T T T"
V 0.000 0.000 0.000
V 0.000 3.372 1.351
V 3.372 0.000 4.054
V 3.372 3.372 2.702
Cr 0.000 0.000 2.702
Cr 0.000 3.372 4.054
Cr 3.372 0.000 1.351
Cr 3.372 3.372 0.000
Rh 1.489 5.058 0.676
Rh 1.686 1.489 4.729
Rh 1.686 1.882 2.027
Rh 1.882 5.058 3.378
Rh 4.861 1.686 3.378
Rh 5.058 4.861 2.027
Rh 5.058 5.254 4.729
Rh 5.254 1.686 0.676
```

Below is a relaxed structure of V2CrRh9, with properties calculated at the PBE level.

extended XYZ file:
```
12
Lattice="3.808 0.000 0.000 0.000 3.808 0.000 0.000 0.000 11.422" Properties=species:S:1:pos:R:3 pbc="T T T"
V 0.000 0.000 1.912
V 0.000 0.000 9.510
Cr 0.000 0.000 5.711
Rh 0.000 1.904 0.000
Rh 0.000 1.904 3.803
Rh 0.000 1.904 7.618
Rh 1.904 0.000 0.000
Rh 1.904 0.000 3.803
Rh 1.904 0.000 7.618
Rh 1.904 1.904 1.904
Rh 1.904 1.904 5.711
Rh 1.904 1.904 9.517
```

Below is a relaxed structure of V3CrRh, with properties calculated at the PBE level.

- Energy relative to the lowest polymorph listed for this composition: 992 meV per atom

extended XYZ file:
```
5
Lattice="4.229 0.000 0.000 0.000 4.229 0.000 0.000 0.000 4.229" Properties=species:S:1:pos:R:3 pbc="T T T"
V 0.000 0.000 2.115
V 0.000 2.115 0.000
V 2.115 0.000 0.000
Cr 0.000 0.000 0.000
Rh 2.115 2.115 2.115
```

Below is a relaxed structure of V7CrRh2, with properties calculated at the PBE level.

extended XYZ file:
```
10
Lattice="0.000 4.252 4.252 4.252 0.000 4.252 4.252 4.252 0.000" Properties=species:S:1:pos:R:3 pbc="T T T"
V 0.000 0.000 0.000
V 4.252 4.252 2.140
V 4.252 2.140 4.252
V 6.364 4.252 4.252
V 2.140 4.252 4.252
V 4.252 6.364 4.252
V 4.252 4.252 6.364
Cr 4.252 4.252 4.252
Rh 2.126 2.126 2.126
Rh 6.378 6.378 6.378
```

Below is a relaxed structure of VCrRh, with properties calculated at the PBE level.

- Energy relative to the lowest polymorph listed for this composition: 214 meV per atom

extended XYZ file:
```
12
Lattice="4.143 0.000 0.000 -2.072 3.588 0.000 0.000 0.000 10.613" Properties=species:S:1:pos:R:3 pbc="T T T"
V 0.000 2.392 1.126
V 0.000 2.392 4.181
V 2.072 1.196 6.433
V 2.072 1.196 9.487
Cr 0.000 2.392 6.767
Cr 0.000 2.392 9.153
Cr 2.072 1.196 1.460
Cr 2.072 1.196 3.847
Rh 0.000 0.000 0.000
Rh 0.000 0.000 2.653
Rh 0.000 0.000 5.307
Rh 0.000 0.000 7.960
```

Below is a relaxed structure of V6CrRh12, with properties calculated at the PBE level.

extended XYZ file:
```
19
Lattice="4.494 2.595 3.835 -4.494 2.595 3.835 0.000 -5.190 3.835" Properties=species:S:1:pos:R:3 pbc="T T T"
V -0.759 -2.392 5.243
V -2.452 -0.538 6.263
V -1.692 1.854 5.243
V 1.692 -1.854 6.263
V 2.452 0.538 5.243
V 0.759 2.392 6.263
Cr 0.000 0.000 5.753
Rh -4.011 0.985 4.873
Rh -2.858 -2.981 6.633
Rh -1.550 -0.183 3.723
Rh 1.153 -3.965 4.873
Rh 0.933 -1.251 3.723
Rh 0.617 1.433 3.723
Rh -0.617 -1.433 7.783
Rh -0.933 1.251 7.783
Rh -1.153 3.965 6.633
Rh 1.550 0.183 7.783
Rh 2.858 2.981 4.873
Rh 4.011 -0.985 6.633
```

Below is a relaxed structure of V2CrRh2, with properties calculated at the PBE level.

- Energy relative to the lowest polymorph listed for this composition: 0 meV per atom

extended XYZ file:
```
10
Lattice="7.184 0.000 0.000 0.000 7.184 0.000 0.000 0.000 2.838" Properties=species:S:1:pos:R:3 pbc="T T T"
V 1.198 2.394 0.000
V 2.394 5.987 0.000
V 4.790 1.198 0.000
V 5.987 4.790 0.000
Cr 0.000 0.000 1.419
Cr 3.592 3.592 1.419
Rh 0.961 4.553 1.419
Rh 2.631 0.961 1.419
Rh 4.553 6.223 1.419
Rh 6.223 2.631 1.419
```

Below is a relaxed structure of VCrRh2, with properties calculated at the PBE level.

extended XYZ file:
```
12
Lattice="2.679 0.000 0.000 -1.339 2.320 0.000 0.000 0.000 25.835" Properties=species:S:1:pos:R:3 pbc="T T T"
V 0.000 0.000 0.000
V 0.000 1.546 17.223
V 1.339 0.773 8.612
Cr 0.000 0.000 4.290
Cr 0.000 1.546 21.513
Cr 1.339 0.773 12.901
Rh 0.000 0.000 10.835
Rh 0.000 0.000 15.017
Rh 0.000 1.546 2.223
Rh 0.000 1.546 6.406
Rh 1.339 0.773 19.447
Rh 1.339 0.773 23.629
```

Below is a relaxed structure of VCrRh4, with properties calculated at the PBE level.

- Energy relative to the lowest polymorph listed for this composition: 217 meV per atom

extended XYZ file:
```
6
Lattice="4.031 0.000 0.000 0.000 4.031 0.000 0.000 0.000 5.699" Properties=species:S:1:pos:R:3 pbc="T T T"
V 0.000 0.000 0.000
Cr 2.015 2.015 2.850
Rh 0.000 2.015 1.436
Rh 0.000 2.015 4.263
Rh 2.015 0.000 1.436
Rh 2.015 0.000 4.263
```

Below is a relaxed structure of V2CrRh, with properties calculated at the PBE level.

extended XYZ file:
```
16
Lattice="3.562 0.000 0.000 0.000 3.562 0.000 0.000 0.000 18.239" Properties=species:S:1:pos:R:3 pbc="T T T"
V 0.860 0.891 2.280
V 0.891 2.641 6.840
V 0.891 2.702 15.959
V 0.921 0.891 11.399
V 2.641 2.672 11.399
V 2.672 0.860 15.959
V 2.672 0.921 6.840
V 2.702 2.672 2.280
Cr 0.000 0.000 0.000
Cr 0.000 1.781 4.560
Cr 1.781 0.000 13.679
Cr 1.781 1.781 9.119
Rh 0.000 0.000 9.119
Rh 0.000 1.781 13.679
Rh 1.781 0.000 4.560
Rh 1.781 1.781 0.000
```

Below is a relaxed structure of VCrRh, with properties calculated at the PBE level.

- Energy relative to the lowest polymorph listed for this composition: 741 meV per atom

extended XYZ file:
```
6
Lattice="2.615 0.000 0.000 0.000 2.615 0.000 0.000 0.000 12.852" Properties=species:S:1:pos:R:3 pbc="T T T"
V 0.000 0.000 0.000
V 1.308 1.308 6.426
Cr 0.000 0.000 10.586
Cr 1.308 1.308 4.161
Rh 0.000 0.000 2.465
Rh 1.308 1.308 8.890
```

Below is a relaxed structure of V6CrRh, with properties calculated at the PBE level.

extended XYZ file:
```
16
Lattice="5.948 0.000 0.000 0.000 8.513 0.000 0.000 0.000 4.156" Properties=species:S:1:pos:R:3 pbc="T T T"
V 0.000 2.116 0.000
V 0.000 6.397 0.000
V 1.412 0.000 0.000
V 1.487 2.128 2.078
V 1.487 6.385 2.078
V 1.562 4.256 0.000
V 2.974 2.140 0.000
V 2.974 6.373 0.000
V 4.386 4.256 0.000
V 4.461 2.128 2.078
V 4.461 6.385 2.078
V 4.536 0.000 0.000
Cr 0.000 0.000 2.078
Cr 2.974 4.256 2.078
Rh 0.000 4.256 2.078
Rh 2.974 0.000 2.078
```

Below is a relaxed structure of VCrRh4, with properties calculated at the PBE level.

- Energy relative to the lowest polymorph listed for this composition: 0 meV per atom

extended XYZ file:
```
12
Lattice="9.793 0.000 0.000 0.000 2.716 0.000 -1.763 0.000 6.189" Properties=species:S:1:pos:R:3 pbc="T T T"
V 0.000 0.000 0.000
V 4.897 1.358 0.000
Cr -0.023 1.358 4.366
Cr 4.873 0.000 4.366
Rh 1.115 1.358 1.949
Rh 2.649 0.000 0.212
Rh 2.228 0.000 4.136
Rh 3.773 1.358 2.406
Rh 6.012 0.000 1.949
Rh 7.546 1.358 0.212
Rh 7.125 1.358 4.136
Rh 8.669 0.000 2.406
```

| no. | raw total energy (eV per cell) | ΔE_f (eV/atom) | volume (Å³/f.u.) |
| --- | --- | --- | --- |
| 1 | -121.5 | -0.393 | 66.6 |
| 2 | -30.5 | -0.418 | 66.5 |
| 3 | -56.0 | 0.091 | 49.4 |
| 4 | -121.7 | 0.248 | 118.4 |
| 5 | -35.5 | 0.057 | 51.5 |
| 6 | -90.4 | -0.176 | 65.6 |
| 7 | -142.2 | 0.041 | 52.5 |
| 8 | -135.6 | -0.117 | 56.1 |
| 9 | -74.6 | 0.527 | 167.9 |
| 10 | -53.5 | -0.211 | 39.5 |
| 11 | -36.3 | -0.261 | 52.1 |
| 12 | -129.5 | 0.269 | 61.4 |
| 13 | -97.5 | -0.287 | 165.7 |
| 14 | -40.3 | 0.815 | 75.6 |
| 15 | -79.3 | 0.888 | 153.8 |
| 16 | -104.3 | 0.002 | 39.5 |
| 17 | -156.9 | -0.227 | 268.4 |
| 18 | -85.4 | -0.031 | 73.2 |
| 19 | -101.7 | -0.112 | 53.5 |
| 20 | -48.0 | 0.028 | 92.6 |
| 21 | -133.5 | 0.462 | 57.9 |
| 22 | -49.0 | 0.529 | 43.9 |
| 23 | -146.5 | -0.193 | 105.2 |
| 24 | -98.6 | -0.189 | 82.3 |